# Sr4LiFe3O12 | Alexandria via LeMat-Bulk | PBE with a Hubbard U | optimized geometry
data_Sr4LiFe3O12
_chemical_formula_sum 'Sr4 Li1 Fe3 O12'
_cell_length_a 6.7881
_cell_length_b 6.7881
_cell_length_c 6.7881
_cell_angle_alpha 109.47
_cell_angle_beta 109.47
_cell_angle_gamma 109.47
_symmetry_space_group_name_H-M 'P 1'
_symmetry_Int_Tables_number 1
loop_
_symmetry_equiv_pos_as_xyz
'x,y,z'
loop_
_atom_site_label
_atom_site_fract_x
_atom_site_fract_y
_atom_site_fract_z
_atom_site_occupancy
Sr1 0.0000 0.0000 0.5000 1
Sr2 0.0000 0.5000 0.0000 1
Sr3 0.5000 0.0000 0.0000 1
Sr4 0.5000 0.5000 0.5000 1
Li1 0.0000 0.0000 0.0000 1
Fe1 0.0000 0.5000 0.5000 1
Fe2 0.5000 0.0000 0.5000 1
Fe3 0.5000 0.5000 0.0000 1
O1 0.0000 0.2649 0.2649 1
O2 0.0000 0.7351 0.7351 1
O3 0.2500 0.5000 0.7500 1
O4 0.2500 0.7500 0.5000 1
O5 0.2649 0.0000 0.2649 1
O6 0.2649 0.2649 0.0000 1
O7 0.5000 0.2500 0.7500 1
O8 0.5000 0.7500 0.2500 1
O9 0.7351 0.0000 0.7351 1
O10 0.7351 0.7351 0.0000 1
O11 0.7500 0.2500 0.5000 1
O12 0.7500 0.5000 0.2500 1
# DOS(E_F): 0.725 states/eV/atom
# space group: Im-3m (229)
# total magnetic moment: 11.50 μB per formula unit
# uncorrected energy: -6.050 eV per atom